This record from Alexandria describes a relaxed Pr2YMgO crystal. The functional is GGA-PBE.

Output
- E_tot (eV/atom) = -5.6968
- ρ (g cm⁻³) = 5.48
- formation energy from raw total energies (eV/atom) = -1.182
- space-group type = P4/mmm

Lattice parameters (Å, degrees): 4.729 5.133 5.133 90.00 90.00 90.00
Element x y z (fractional)
Mg  0.500  0.500  0.500
Pr  0.000  0.500  0.000
Pr  0.000  0.000  0.500
Y  0.500  0.000  0.000
O  0.000  0.000  0.000